A plane-wave DFT calculation with GGA-PBE was carried out for a relaxed Ba2LiAgSe crystal.

a b c (Å): 6.3609 6.3609 4.7104
angles (deg): 90.00 90.00 90.00
Closest atoms and distances in Å follow each position.
Space group P4/mmm (No. 123)
Inequivalent atoms, fractional coordinates:
Ba1 0.0000 0.5000 0.0000  2 Se 3.18
Li1 0.0000 0.0000 0.5000  2 Se 2.36
Ag1 0.5000 0.5000 0.5000  8 Ba 3.96
Se1 0.0000 0.0000 0.0000  2 Li 2.36

Computed properties:
Formation energy from raw total energies ... -68 kJ/mol of atoms
Fermi-level density of states ... 4.5 states/eV/f.u.